Compound: Mg6TiMo
Source: Alexandria via LeMat-Bulk
Functional: PBE
Structure: optimized geometry

Summary:
Its formation energy from the elements is 191 kJ/mol of formula units.

POSCAR file:
```
Mg6TiMo
1.0
4.9715 0.0000 0.0000
0.0000 2.8744 5.5431
0.0000 -2.8744 5.5431
Mg Ti Mo
6 1 1
Direct
0.0000 0.0000 0.0000 Mg
0.0000 0.0204 0.5084 Mg
0.0000 0.4943 0.4943 Mg
0.0000 0.5084 0.0204 Mg
0.5000 0.3545 0.8549 Mg
0.5000 0.8549 0.3545 Mg
0.5000 0.8526 0.8526 Ti
0.5000 0.3540 0.3540 Mo
```